[1]
Here is a relaxed CePm2Pu3Se6 crystal from Alexandria via LeMat-Bulk. Energies are from GGA-PBE.

Values from the calculation:
Magnetization ... 1.529 μB per atom
N(E_F) ... 29.17 states/eV per cell
Formation energy from raw total energies ... -39.1 kcal/mol of atoms
Density ... 8.8 g/cm³

Lattice parameters (Å, degrees): 4.1652 8.3654 9.3340 103.04 102.89 90.00
Closest atoms and distances in Å follow each position.
Atoms (fractional coordinates):
Pu  0.8337  0.1658  0.6675  6 Se 2.93
Pu  0.1663  0.8342  0.3325  6 Se 2.93
Pu  0.5000  0.5000  0.0000  6 Se 2.92-2.93
Se  0.0007  0.7460  0.0013  3 Pu 2.93, 2 Ce 2.98, 1 Pm 2.98
Se  0.6652  0.5872  0.3304  3 Pu 2.92-2.93, 3 Pm 2.96-2.97
Se  0.6682  0.0817  0.3364  3 Pu 2.93, 1 Ce 2.98, 2 Pm 2.98
Se  0.3318  0.9183  0.6636  3 Pu 2.93, 1 Ce 2.98, 2 Pm 2.98
Se  0.9993  0.2540  0.9987  3 Pu 2.93, 2 Ce 2.98, 1 Pm 2.98
Se  0.3348  0.4128  0.6696  3 Pu 2.92-2.93, 3 Pm 2.96-2.97
Pm  0.1678  0.3361  0.3357  6 Se 2.96-2.98
Pm  0.8322  0.6639  0.6643  6 Se 2.96-2.98
Ce  0.5000  0.0000  0.0000  6 Se 2.98


[2]
Here is a relaxed TiCuGeAs crystal from Alexandria via LeMat-Bulk. Energies are from GGA-PBE.

Values from the calculation:
Magnetization ... 0.000 μB per atom
N(E_F) ... 1.84 states/eV per cell
ΔE_f ... -1.68 eV per formula unit
Density ... 7.0 g/cm³

Lattice parameters (Å, degrees): 3.6426 3.6426 9.3087 90.00 90.00 90.00
Closest atoms and distances in Å follow each position.
Atoms (fractional coordinates):
Cu  0.0000  0.0000  0.5000  4 As 2.53, 4 Cu 2.58
Cu  0.5000  0.5000  0.5000  4 As 2.53, 4 Cu 2.58
Ti  0.5000  0.0000  0.2228  4 As 2.71, 4 Ge 2.76
Ti  0.0000  0.5000  0.7772  4 As 2.71, 4 Ge 2.76
Ge  0.5000  0.5000  0.0000  4 Ge 2.58, 4 Ti 2.76
Ge  0.0000  0.0000  0.0000  4 Ge 2.58, 4 Ti 2.76
As  0.5000  0.0000  0.6879  4 Cu 2.53, 4 Ti 2.71
As  0.0000  0.5000  0.3121  4 Cu 2.53, 4 Ti 2.71


The records above give, respectively, electronic total energy values of -8.31 -5.74 eV per atom.